# Cs2ScSnRu (PBE-GGA, relaxed)
data_Cs2ScSnRu
_symmetry_space_group_name_H-M 'P 4/m m m'
_symmetry_Int_Tables_number 123
_symmetry_space_group_name_Hall '-P 4 2'
_cell_length_a 6.1361
_cell_length_b 6.1361
_cell_length_c 4.9148
_cell_angle_alpha 90.00
_cell_angle_beta 90.00
_cell_angle_gamma 90.00
loop_
_atom_site_label
_atom_site_type_symbol
_atom_site_fract_x
_atom_site_fract_y
_atom_site_fract_z
Cs1 Cs 0.0000 0.5000 0.0000
Sc1 Sc 0.0000 0.0000 0.5000
Sn1 Sn 0.5000 0.5000 0.5000
Ru1 Ru 0.0000 0.0000 0.0000
# Formation enthalpy at 0 K: 3.9 eV/f.u.
# Electronic total energy: -3.487 eV/atom